Record 1
A relaxed LiSmEuY crystal, computed with GGA-PBE.

## Properties
Space-group type = F-43m, No. 216
Fermi-level density of states = 4.632 states/eV per cell
Energy relative to the elements = 0.219 eV per atom

Lattice parameters (Å, degrees): 5.6273 5.6273 5.6273 60.00 60.00 60.00
With the nearest neighbours (Å) after each atom.
Sites, in units of the cell vectors:
Y  0.7500  0.7500  0.7500  4 Li 3.45, 4 Eu 3.45
Li  0.0000  0.0000  0.0000  4 Y 3.45, 4 Sm 3.45
Eu  0.5000  0.5000  0.5000  4 Sm 3.45, 4 Y 3.45
Sm  0.2500  0.2500  0.2500  4 Li 3.45, 4 Eu 3.45

***

Record 2
A relaxed LiSmEuZn crystal, computed with GGA-PBE.

## Properties
Space-group type = F-43m, No. 216
Fermi-level density of states = 6.169 states/eV per cell
Energy relative to the elements = -0.074 eV per atom

Lattice parameters (Å, degrees): 5.3080 5.3080 5.3080 60.00 60.00 60.00
With the nearest neighbours (Å) after each atom.
Sites, in units of the cell vectors:
Li  0.5000  0.5000  0.5000  4 Sm 3.25, 4 Eu 3.25
Sm  0.2500  0.2500  0.2500  4 Li 3.25, 4 Zn 3.25
Zn  0.0000  0.0000  0.0000  4 Eu 3.25, 4 Sm 3.25
Eu  0.7500  0.7500  0.7500  4 Zn 3.25, 4 Li 3.25

***

Record 3
A relaxed LiEuSn4 crystal, computed with GGA-PBE.

## Properties
Space-group type = F-43m, No. 216
Fermi-level density of states = 13.077 states/eV per cell
Energy relative to the elements = -0.244 eV per atom

Lattice parameters (Å, degrees): 6.2485 6.2485 6.2485 60.00 60.00 60.00
With the nearest neighbours (Å) after each atom.
Sites, in units of the cell vectors:
Sn  0.1245  0.6252  0.6252  6 Sn 3.12-3.13
Sn  0.6252  0.1245  0.6252  6 Sn 3.12-3.13
Eu  0.2500  0.2500  0.2500  12 Sn 3.66, 4 Li 3.83
Li  0.0000  0.0000  0.0000  12 Sn 3.66, 4 Eu 3.83
Sn  0.6252  0.6252  0.6252  6 Sn 3.12-3.13
Sn  0.6252  0.6252  0.1245  6 Sn 3.12-3.13

***

Record 4
A relaxed LiEuSn2 crystal, computed with GGA-PBE.

## Properties
Space-group type = P4/mmm, No. 123
Fermi-level density of states = 8.449 states/eV per cell
Energy relative to the elements = -0.509 eV per atom

Lattice parameters (Å, degrees): 4.6297 4.6649 4.6649 90.00 90.00 90.00
With the nearest neighbours (Å) after each atom.
Sites, in units of the cell vectors:
Eu  0.5000  0.5000  0.5000  8 Sn 3.29, 4 Li 3.30
Sn  0.0000  0.0000  0.5000  4 Li 3.29, 4 Eu 3.29, 4 Sn 3.30
Li  0.5000  0.0000  0.0000  8 Sn 3.29, 4 Eu 3.30
Sn  0.0000  0.5000  0.0000  4 Eu 3.29, 4 Li 3.29, 4 Sn 3.30

***

> What is the Fermi-level density of states in the first record?

4.632 states/eV per cell

***

> Look up the energy relative to the elements of the fourth one.

-0.509 eV per atom